First-principles (PBE-GGA) data for an optimized crystal structure of PaCuSnRu, as listed in Alexandria.

Calculated values
DOS(E_F), states/eV/atom: 1.203
Energy relative to the elements, eV/atom: -0.191

a b c (Å): 6.720 6.720 6.720
angles (deg): 90.00 90.00 90.00
Space group F-43m (No. 216)
Unique sites:
Pa (0.000, 0.000, 0.000) (multiplicity 4)
Cu (0.250, 0.250, 0.750) (multiplicity 4)
Sn (0.000, 0.000, 0.500) (multiplicity 4)
Ru (0.250, 0.250, 0.250) (multiplicity 4)